## i
Below is a geometry-optimized AsRh3Se structure, with properties calculated at the PBE level.

Lattice parameters (Å, degrees): 4.5739 4.5739 4.5739 90.00 90.00 90.00
Last column: nearest neighbours and their distance in Å.
Fractional coordinates of all 5 atoms:
As: 0.0000 0.0000 0.0000  6 Rh 2.29
Rh: 0.0000 0.0000 0.5000  2 As 2.29
Rh: 0.5000 0.0000 0.0000  2 As 2.29
Rh: 0.0000 0.5000 0.0000  2 As 2.29
Se: 0.5000 0.5000 0.5000  12 Rh 3.23

=====

## ii
Below is a geometry-optimized AsRh3Se structure, with properties calculated at the PBE level.

Lattice parameters (Å, degrees): 4.5735 4.5735 4.5735 90.00 90.00 90.00
Last column: nearest neighbours and their distance in Å.
Fractional coordinates of all 5 atoms:
Rh: 0.0000 0.5000 0.0000  2 Se 2.29
Rh: 0.5000 0.0000 0.0000  2 Se 2.29
Rh: 0.0000 0.0000 0.5000  2 Se 2.29
Se: 0.0000 0.0000 0.0000  6 Rh 2.29
As: 0.5000 0.5000 0.5000  12 Rh 3.23

=====

The computed energies, referenced to the most stable structure and given in meV/atom, are i 0; ii 39.

=====

## i
Below is a geometry-optimized SiAsRhSe2 structure, with properties calculated at the PBE level.

Lattice parameters (Å, degrees): 5.0747 5.0747 4.5273 90.00 90.00 90.00
Last column: nearest neighbours and their distance in Å.
Fractional coordinates of all 5 atoms:
Rh: 0.0000 0.0000 0.0000  2 As 2.26
Si: 0.5000 0.5000 0.5000  8 Se 3.40, 4 As 3.59
As: 0.0000 0.0000 0.5000  2 Rh 2.26
Se: 0.5000 0.0000 0.0000  2 Rh 2.54
Se: 0.0000 0.5000 0.0000  2 Rh 2.54

=====

## ii
Below is a geometry-optimized SiAsRhSe2 structure, with properties calculated at the PBE level.

Lattice parameters (Å, degrees): 4.6995 4.6995 4.7007 90.00 90.00 90.00
Last column: nearest neighbours and their distance in Å.
Fractional coordinates of all 5 atoms:
Si: 0.0000 0.0000 0.0000  4 Se 2.35, 2 As 2.35
Rh: 0.5000 0.5000 0.5000  4 As 3.32, 8 Se 3.32
Se: 0.5000 0.0000 0.0000  2 Si 2.35
Se: 0.0000 0.5000 0.0000  2 Si 2.35
As: 0.0000 0.0000 0.5000  2 Si 2.35

=====

The computed energies, referenced to the most stable structure and given in meV/atom, are i 0; ii 184.